First-principles (GGA-PBEsol) data for a relaxed KAgIr2 crystal, as listed in Alexandria.

a b c (Å): 2.710 2.710 10.393
angles (deg): 90.00 90.00 118.37
Element x y z (fractional)
Ir 0.000 0.000 0.232
Ir 0.000 0.000 0.768
Ag 0.500 0.500 0.000
K 0.500 0.500 0.500

Calculated total energy: -21.491 eV for the cell shown
Theoretical density: 13.14 g/cm3
Formation energy from the elements: 2.6 eV per formula unit
ΔE to the lowest computed polymorph: 205.6 meV per atom